# Cd2PIr

Crystalline Cd2PIr at its relaxed geometry (PBE, Alexandria via LeMat-Bulk).

Results
SG = I4/mmm, No. 139
Total energy = -0.136 Ha/atom
V = 17.26 A^3/atom
Fermi-level density of states = 6.1 states/eV/cell

Unit cell a=3.9712 b=3.9712 c=8.7580 alpha=90.00 beta=90.00 gamma=90.00
With the nearest neighbours (Å) after each atom.
Sites, in units of the cell vectors:
Cd  0.0000  0.5000  0.2500  4 Cd 2.81, 4 Ir 2.96, 4 P 2.96
Cd  0.0000  0.5000  0.7500  4 Cd 2.81, 4 Ir 2.96, 4 P 2.96
Cd  0.5000  0.0000  0.2500  4 Cd 2.81, 4 Ir 2.96, 4 P 2.96
Cd  0.5000  0.0000  0.7500  4 Cd 2.81, 4 Ir 2.96, 4 P 2.96
P  0.0000  0.0000  0.0000  4 Ir 2.81, 8 Cd 2.96
P  0.5000  0.5000  0.5000  4 Ir 2.81, 8 Cd 2.96
Ir  0.0000  0.0000  0.5000  4 P 2.81, 8 Cd 2.96
Ir  0.5000  0.5000  0.0000  4 P 2.81, 8 Cd 2.96